VASP calculation (GGA-PBE) on a relaxed structure of In12Hg3Sb5.

abc: 15.0656 15.0656 15.0656
angles: 109.47 109.47 109.47
Fractional positions:
1 In 0.6701 0.2357 0.6016
2 In 0.3659 0.4315 0.1016
3 In 0.8299 0.9315 0.0656
4 In 0.4344 0.6701 0.0685
5 In 0.2357 0.5656 0.6341
6 In 0.3299 0.7643 0.3984
7 In 0.9315 0.8299 0.5656
8 In 0.4344 0.7643 0.8659
9 In 0.3659 0.9344 0.7643
10 In 0.6016 0.8659 0.4315
11 In 0.9315 0.1016 0.8659
12 In 0.0685 0.1701 0.4344
13 In 0.6016 0.7357 0.6701
14 In 0.7357 0.6016 0.1701
15 In 0.0656 0.4315 0.8299
16 In 0.8299 0.8984 0.2643
17 In 0.5656 0.3299 0.9315
18 In 0.1701 0.1016 0.7357
19 In 0.6341 0.5685 0.8984
20 In 0.9344 0.3659 0.2643
21 In 0.0656 0.6341 0.7357
22 In 0.5656 0.2357 0.1341
23 In 0.6341 0.0656 0.2357
24 In 0.2643 0.3984 0.8299
25 In 0.2643 0.8659 0.9344
26 In 0.1341 0.3984 0.0685
27 In 0.4315 0.0656 0.3299
28 In 0.8659 0.6016 0.9315
29 In 0.8984 0.0685 0.6341
30 In 0.3984 0.1341 0.5685
31 In 0.1701 0.0685 0.9344
32 In 0.1016 0.9315 0.3659
33 In 0.0685 0.8984 0.1341
34 In 0.5685 0.6341 0.3984
35 In 0.8984 0.8299 0.7643
36 In 0.1341 0.7357 0.5656
37 In 0.3984 0.2643 0.3299
38 In 0.3299 0.5656 0.4315
39 In 0.7357 0.1341 0.0656
40 In 0.7643 0.4344 0.3659
41 In 0.4315 0.3659 0.6016
42 In 0.5685 0.9344 0.6701
43 In 0.9344 0.5685 0.1701
44 In 0.2357 0.6701 0.1016
45 In 0.7643 0.3299 0.8984
46 In 0.8659 0.2643 0.4344
47 In 0.6701 0.4344 0.5685
48 In 0.1016 0.1701 0.2357
49 Sb 0.0000 0.5000 0.0000
50 Sb 0.6250 0.8750 0.2500
51 Sb 0.3750 0.1250 0.7500
52 Sb 0.2500 0.8750 0.1250
53 Sb 0.8750 0.6250 0.7500
54 Sb 0.0000 0.0000 0.5000
55 Sb 0.0000 0.5000 0.5000
56 Sb 0.7500 0.1250 0.8750
57 Sb 0.2500 0.3750 0.6250
58 Sb 0.5000 0.0000 0.5000
59 Sb 0.0000 0.0000 0.0000
60 Sb 0.8750 0.2500 0.6250
61 Sb 0.5000 0.0000 0.0000
62 Sb 0.1250 0.3750 0.2500
63 Sb 0.1250 0.7500 0.3750
64 Sb 0.3750 0.2500 0.1250
65 Sb 0.7500 0.6250 0.3750
66 Sb 0.5000 0.5000 0.5000
67 Sb 0.6250 0.7500 0.8750
68 Sb 0.5000 0.5000 0.0000
69 Hg 0.8750 0.1250 0.2500
70 Hg 0.2500 0.6250 0.8750
71 Hg 0.7500 0.3750 0.1250
72 Hg 0.7500 0.8750 0.6250
73 Hg 0.8750 0.7500 0.1250
74 Hg 0.3750 0.6250 0.2500
75 Hg 0.6250 0.3750 0.7500
76 Hg 0.3750 0.7500 0.6250
77 Hg 0.2500 0.1250 0.3750
78 Hg 0.1250 0.8750 0.7500
79 Hg 0.6250 0.2500 0.3750
80 Hg 0.1250 0.2500 0.8750

Summary:
As for the formation energy from raw total energies: 0.08 eV per atom. The calculation puts the density of states at the Fermi level at 11.12 states/eV/f.u.